Material: Be2SiMo
Method: DFT, GGA-PBE
State: relaxed

```
Be2SiMo
1.0
1.8053 -1.8135 0.0000
1.8053 1.8135 0.0000
0.0000 0.0000 7.3349
Be Si Mo
2 1 1
Cartesian
0.0000 0.0000 0.0000 Be
1.8053 0.0000 1.4189 Be
0.0000 0.0000 3.3134 Si
1.8053 0.0000 5.4583 Mo
```

Values from the calculation:
E above lowest polymorph   0.636 eV per atom
Raw total energy   -5.638 eV per atom
Space group   No. 35
Energy relative to the elements, uncorrected   27.9 kJ/mol of atoms
Spin magnetization   0.00 μB/f.u.


Material: BeSi2Mo
Method: DFT, GGA-PBE
State: relaxed

```
BeSi2Mo
1.0
2.5902 -3.6998 0.0000
2.5902 3.6998 0.0000
0.0000 0.0000 2.7149
Be Si Mo
1 2 1
Cartesian
0.0000 0.0000 0.0000 Be
1.2951 1.8499 1.3574 Si
1.2951 -1.8499 1.3574 Si
2.5902 0.0000 0.0000 Mo
```

Values from the calculation:
E above lowest polymorph   0.341 eV per atom
Raw total energy   -6.190 eV per atom
Space group   No. 65
Energy relative to the elements, uncorrected   15.6 kJ/mol of atoms
Spin magnetization   0.00 μB/f.u.